DFT (PBE-GGA) results for a geometry-optimized LiZnSe2 structure.

Unit cell a=3.5364 b=3.6334 c=12.0017 alpha=90.00 beta=90.00 gamma=90.00
Closest atoms and distances in Å follow each position.
Space group Imm2 (No. 44)
One atom of each set of equivalent atoms:
1 Li 0.0000 0.0000 0.0000  6 Se 2.72
2 Zn 0.0000 0.5000 0.2377  6 Se 2.58-2.77
3 Se 0.0000 0.0000 0.5812  2 Zn 2.58, 4 Li 2.72
4 Se 0.0000 0.5000 0.8317  2 Li 2.72, 4 Zn 2.77

Summary:
Formation energy (no corrections) (eV/atom): -0.4574
Crystal system: orthorhombic
Spin magnetization (μB/f.u.): 0.0